(1)
LiCa2SnF8 PBE relaxed; uncorrected energy = -62.74 eV per cell; V = 164 Å³/cell; formation energy from raw total energies = -3154 meV/atom
1.0
3.931 -0.130 0.019
-0.074 5.382 -0.193
0.031 -0.248 7.755
F Ca Li Sn
8 2 1 1
direct
0.419 0.250 0.973
0.581 0.750 0.027
0.022 0.820 0.759
0.022 0.682 0.299
0.512 0.771 0.519
0.978 0.180 0.241
0.978 0.318 0.701
0.488 0.229 0.481
0.506 0.464 0.228
0.494 0.536 0.772
0.000 0.000 0.000
0.000 0.000 0.500



(2)
Li2CaSnF PBE relaxed; uncorrected energy = -18.59 eV per cell; V = 96 Å³/cell; formation energy from raw total energies = -1378 meV/atom
1.0
4.550 0.000 0.000
0.000 4.550 0.000
0.000 0.000 4.625
Sn F Li Ca
1 1 2 1
direct
0.500 0.500 0.500
0.000 0.000 0.000
0.500 0.000 0.000
0.000 0.500 0.000
0.000 0.000 0.500



(3)
SrLiCa2F PBE relaxed; uncorrected energy = -14.41 eV per cell; V = 151 Å³/cell; formation energy from raw total energies = -988 meV/atom
1.0
4.958 0.000 0.000
0.000 4.958 0.000
0.000 0.000 6.124
Ca F Sr Li
2 1 1 1
direct
0.500 0.000 0.000
0.000 0.500 0.000
0.000 0.000 0.000
0.000 0.000 0.500
0.500 0.500 0.500



(4)
LiCa2TlF PBE relaxed; uncorrected energy = -16.82 eV per cell; V = 110 Å³/cell; formation energy from raw total energies = -1332 meV/atom
1.0
-3.560 2.045 3.203
-3.787 -1.553 -3.219
-0.240 -3.527 1.985
F Tl Ca Li
1 1 2 1
direct
0.000 0.000 0.000
0.500 0.500 0.500
0.000 0.500 0.000
0.500 0.000 0.000
0.000 0.000 0.500



(5)
Li2CaTlF8 PBE relaxed; uncorrected energy = -53.33 eV per cell; V = 170 Å³/cell; formation energy from raw total energies = -2514 meV/atom
1.0
6.042 0.242 0.000
-2.463 5.522 0.000
-1.789 -2.882 5.005
F Tl Li Ca
8 1 2 1
direct
0.731 0.050 0.681
0.309 0.117 0.809
0.883 0.691 0.191
0.950 0.631 0.681
0.369 0.050 0.319
0.309 0.500 0.191
0.500 0.691 0.809
0.950 0.269 0.319
0.250 0.750 0.500
0.750 0.250 0.500
0.500 0.500 0.000
0.000 0.000 0.000



(6)
LiCaTlF4 PBE relaxed; uncorrected energy = -69.23 eV per cell; V = 236 Å³/cell; formation energy from raw total energies = -2978 meV/atom
1.0
5.520 0.000 -0.686
0.000 5.682 0.000
-2.999 0.000 7.902
F Li Tl Ca
8 2 2 2
direct
0.383 0.750 0.197
0.059 0.496 0.683
0.941 0.996 0.317
0.438 0.750 0.549
0.059 0.004 0.683
0.617 0.250 0.803
0.941 0.504 0.317
0.562 0.250 0.451
0.155 0.750 0.300
0.845 0.250 0.700
0.477 0.250 0.125
0.523 0.750 0.875
0.770 0.750 0.464
0.230 0.250 0.536



(7)
Li2CaTlF PBE relaxed; uncorrected energy = -16.17 eV per cell; V = 98 Å³/cell; formation energy from raw total energies = -1220 meV/atom
1.0
-3.509 -2.454 -1.649
2.074 -0.220 -4.086
2.143 -3.937 1.300
F Tl Ca Li
1 1 1 2
direct
0.000 0.000 0.000
0.500 0.500 0.500
0.000 0.000 0.500
0.000 0.500 0.000
0.500 0.000 0.000



(8)
LiCaTmF6 PBE relaxed; uncorrected energy = -107.30 eV per cell; V = 262 Å³/cell; formation energy from raw total energies = -3782 meV/atom
1.0
5.072 0.000 0.000
0.000 5.072 0.000
0.000 0.000 10.175
F Li Ca Tm
12 2 2 2
direct
0.300 0.300 0.991
0.300 0.300 0.341
0.800 0.200 0.841
0.687 0.687 0.668
0.200 0.800 0.841
0.187 0.813 0.168
0.200 0.800 0.491
0.700 0.700 0.991
0.800 0.200 0.491
0.700 0.700 0.341
0.813 0.187 0.168
0.313 0.313 0.668
0.500 0.500 0.499
0.000 0.000 0.999
0.500 0.500 0.168
0.000 0.000 0.668
0.500 0.500 0.834
0.000 0.000 0.334



(9)
LiCaUF6 PBE relaxed; uncorrected energy = -113.94 eV per cell; V = 275 Å³/cell; formation energy from raw total energies = -3393 meV/atom
1.0
-1.892 -5.101 1.561
2.735 3.266 3.727
-8.612 4.044 2.775
F U Ca Li
12 2 2 2
direct
0.031 0.349 0.132
0.969 0.651 0.868
0.318 0.969 0.132
0.651 0.682 0.132
0.682 0.031 0.868
0.682 0.651 0.632
0.349 0.031 0.632
0.651 0.969 0.368
0.031 0.682 0.368
0.318 0.349 0.368
0.349 0.318 0.868
0.969 0.318 0.632
0.333 0.667 0.750
0.667 0.333 0.250
0.000 0.000 0.000
0.000 0.000 0.500
0.667 0.333 0.750
0.333 0.667 0.250



Q: The highest formation energy from raw total energies belongs to which entry?
A: SrLiCa2F